Entry 1:
Ho4RuRh2 | PBE-GGA | relaxed

abc: 7.3681 7.3686 7.4061
angles: 109.06 109.83 109.34
Atoms (fractional coordinates):
1 Ho 0.2800 0.1209 0.7500
2 Ho 0.8733 0.6166 0.1135
3 Ho 0.7439 0.1112 0.7407
4 Ho 0.3723 0.0041 0.2614
5 Ho 0.9731 0.2224 0.3412
6 Rh 0.1230 0.4377 0.8146
7 Ho 0.3706 0.5296 0.2496
8 Rh 0.8041 0.8694 0.4187
9 Ru 0.1935 0.6937 0.4994
10 Rh 0.4506 0.3859 0.5815
11 Ho 0.5015 0.7599 0.8860
12 Ho 0.8811 0.6316 0.6584
13 Ru 0.0597 0.0588 0.0004
14 Rh 0.6232 0.3081 0.1848

Symmetry = No. 1
Volume = 310.2 Å³ per cell
DFT formation energy = -606 meV/atom

---

Entry 2:
Ho2RuRh | PBE-GGA | relaxed

abc: 3.3982 3.3982 6.7730
angles: 90.00 90.00 90.00
Atoms (fractional coordinates):
1 Rh 0.5000 0.5000 0.5000
2 Ru 0.5000 0.5000 0.0000
3 Ho 0.0000 0.0000 0.2456
4 Ho 0.0000 0.0000 0.7544

Symmetry = No. 123
Volume = 78.2 Å³ per cell
DFT formation energy = -663 meV/atom

---

Entry 3:
Ho8Ru5Rh | PBE-GGA | relaxed

abc: 7.3576 7.3576 7.3576
angles: 109.21 109.99 109.21
Atoms (fractional coordinates):
1 Ho 0.4985 0.5985 0.2608
2 Ru 0.0474 0.4062 0.1647
3 Ho 0.6623 0.4015 0.9000
4 Ho 0.2568 0.2347 0.3912
5 Ho 0.1000 0.7622 0.5015
6 Rh 0.2500 0.5000 0.7500
7 Ho 0.6088 0.8656 0.8435
8 Ho 0.1565 0.7653 0.0221
9 Ru 0.8353 0.8827 0.2415
10 Ru 0.5000 0.0000 0.5000
11 Ru 0.3588 0.1173 0.9526
12 Ho 0.9779 0.1344 0.7432
13 Ru 0.7585 0.5938 0.6412
14 Ho 0.7392 0.2378 0.3377

Symmetry = No. 82
Volume = 306.6 Å³ per cell
DFT formation energy = -295 meV/atom

---

Entry 4:
Ho8Ru2Rh | PBE-GGA | relaxed

abc: 5.8416 7.5218 7.5218
angles: 113.48 100.65 100.65
Atoms (fractional coordinates):
1 Ho 0.3886 0.9244 0.6653
2 Ho 0.5835 0.3410 0.0820
3 Ru 0.4947 0.3162 0.6976
4 Ho 0.3886 0.6653 0.9244
5 Ho 0.1809 0.3646 0.3646
6 Ho 0.9894 0.2130 0.7869
7 Ho 0.5835 0.0820 0.3410
8 Ru 0.4947 0.6976 0.3162
9 Rh 0.1037 0.0016 0.0016
10 Ho 0.8028 0.6413 0.6413
11 Ho 0.9894 0.7869 0.2130

Symmetry = No. 8
Volume = 285.4 Å³ per cell
DFT formation energy = -320 meV/atom

---

Entry 5:
Ho3RuRh | PBE-GGA | relaxed

abc: 7.8799 7.3226 8.5292
angles: 90.00 68.23 90.00
Atoms (fractional coordinates):
1 Ru 0.0616 0.3211 0.3987
2 Ho 0.4655 0.3030 0.1367
3 Rh 0.7084 0.0244 0.8878
4 Ho 0.3969 0.1566 0.7814
5 Ho 0.9656 0.1970 0.1367
6 Ho 0.1031 0.6566 0.2186
7 Rh 0.7916 0.5244 0.1122
8 Rh 0.2084 0.4756 0.8878
9 Rh 0.2916 0.9756 0.1122
10 Ho 0.7883 0.9923 0.5276
11 Ru 0.4384 0.8211 0.6013
12 Ho 0.8969 0.3434 0.7814
13 Ho 0.0344 0.8030 0.8633
14 Ru 0.5616 0.1789 0.3987
15 Ho 0.7117 0.4922 0.4724
16 Ho 0.2883 0.5078 0.5276
17 Ru 0.9384 0.6789 0.6013
18 Ho 0.2117 0.0077 0.4724
19 Ho 0.5345 0.6970 0.8633
20 Ho 0.6031 0.8434 0.2186

Symmetry = No. 14
Volume = 457.0 Å³ per cell
DFT formation energy = -541 meV/atom

---

Entry 6:
Ho6Ru2Rh | PBE-GGA | relaxed

abc: 4.7840 6.9066 7.5651
angles: 83.71 71.57 69.74
Atoms (fractional coordinates):
1 Ru 0.3339 0.5000 0.8322
2 Rh 0.0000 0.5000 0.5000
3 Ho 0.0397 0.7564 0.1642
4 Ru 0.6661 0.5000 0.1678
5 Ho 0.3717 0.7566 0.5000
6 Ho 0.9603 0.2436 0.8358
7 Ho 0.6283 0.2434 0.5000
8 Ho 0.7039 0.7564 0.8358
9 Ho 0.2961 0.2436 0.1642

Symmetry = No. 69
Volume = 222.5 Å³ per cell
DFT formation energy = -432 meV/atom

---

Entry 7:
Ho3RuRh2 | PBE-GGA | relaxed

abc: 4.8136 7.6106 6.7780
angles: 90.00 90.00 71.56
Atoms (fractional coordinates):
1 Ho 0.8325 0.3351 0.7524
2 Rh 0.0000 0.0000 0.0000
3 Ru 0.6663 0.6674 0.0000
4 Rh 0.3340 0.3321 0.5000
5 Ho 0.1677 0.6649 0.7524
6 Ho 0.8323 0.3351 0.2476
7 Ho 0.1675 0.6649 0.2476
8 Rh 0.0000 0.0000 0.5000
9 Ho 0.5001 0.0000 0.7519
10 Ho 0.4999 0.0000 0.2481
11 Rh 0.6660 0.6679 0.5000
12 Ru 0.3337 0.3326 0.0000

Symmetry = No. 65
Volume = 235.6 Å³ per cell
DFT formation energy = -753 meV/atom

---

Entry 8:
Ho8Ru2Rh | PBE-GGA | relaxed

abc: 4.8276 6.8236 8.9937
angles: 106.58 105.57 90.00
Atoms (fractional coordinates):
1 Ho 0.6687 0.9658 0.3374
2 Ho 0.2042 0.3145 0.4084
3 Ho 0.9685 0.2102 0.9369
4 Ho 0.5962 0.4560 0.1924
5 Ho 0.0315 0.7898 0.0631
6 Rh 0.5000 0.0000 0.0000
7 Ho 0.3313 0.0342 0.6626
8 Ho 0.7958 0.6855 0.5916
9 Ho 0.4038 0.5440 0.8076
10 Ru 0.1851 0.7012 0.3702
11 Ru 0.8149 0.2988 0.6298

Symmetry = No. 12
Volume = 272.6 Å³ per cell
DFT formation energy = -363 meV/atom

---

Entry 9:
Ho4Ru2Rh | PBE-GGA | relaxed

abc: 7.3572 7.3572 7.3572
angles: 109.52 109.37 109.52
Atoms (fractional coordinates):
1 Ho 0.9932 0.6153 0.7431
2 Rh 0.0000 0.0000 0.0000
3 Ru 0.3750 0.8776 0.7526
4 Ru 0.8750 0.1224 0.4974
5 Ho 0.1278 0.8847 0.3777
6 Ru 0.2474 0.6224 0.1250
7 Ho 0.6223 0.7501 0.5069
8 Ho 0.2569 0.2501 0.8723
9 Ho 0.7568 0.2499 0.8722
10 Ho 0.1277 0.3847 0.3778
11 Ho 0.6222 0.7499 0.0068
12 Ru 0.5026 0.3776 0.6250
13 Ho 0.4931 0.1153 0.2432
14 Rh 0.7500 0.5000 0.2500

Symmetry = No. 122
Volume = 306.6 Å³ per cell
DFT formation energy = -398 meV/atom

---

Entry 10:
Ho7Ru2Rh2 | PBE-GGA | relaxed

abc: 6.4505 6.8238 6.4505
angles: 90.01 106.56 89.99
Atoms (fractional coordinates):
1 Ru 0.1758 0.5000 0.1758
2 Ho 0.5000 0.7377 0.5000
3 Ho 0.5000 0.2623 0.5000
4 Ho 0.5000 0.2747 0.0001
5 Ho 0.9999 0.2747 0.5000
6 Rh 0.7157 0.0000 0.2843
7 Ho 0.0001 0.7253 0.5000
8 Ho 0.0000 0.0000 0.0000
9 Ru 0.8242 0.5000 0.8242
10 Ho 0.5000 0.7253 0.9999
11 Rh 0.2843 0.0000 0.7157

Symmetry = No. 65
Volume = 272.2 Å³ per cell
DFT formation energy = -300 meV/atom

---

Entry 11:
Ho4RuRh2 | PBE-GGA | relaxed

abc: 5.8770 5.8770 5.8770
angles: 108.69 109.87 109.87
Atoms (fractional coordinates):
1 Rh 0.5000 0.0000 0.5000
2 Ho 0.5000 0.0000 0.0000
3 Ru 0.0000 0.0000 0.0000
4 Ho 0.0000 0.0000 0.5000
5 Ho 0.0000 0.5000 0.0000
6 Ho 0.5000 0.5000 0.5000
7 Rh 0.5000 0.5000 0.0000

Symmetry = No. 139
Volume = 156.2 Å³ per cell
DFT formation energy = -623 meV/atom

---

Entry 12:
Ho5Ru2Rh | PBE-GGA | relaxed

abc: 7.2999 7.2999 8.6637
angles: 114.92 114.92 90.00
Atoms (fractional coordinates):
1 Ru 0.3733 0.8733 0.0000
2 Ru 0.8733 0.6267 0.0000
3 Ru 0.1267 0.3733 0.0000
4 Ho 0.5000 0.5000 0.0000
5 Ho 0.0320 0.5320 0.7159
6 Ho 0.9680 0.4680 0.2841
7 Ho 0.8161 0.9680 0.2841
8 Ho 0.3161 0.8161 0.2841
9 Ho 0.5320 0.6839 0.7159
10 Rh 0.7500 0.7500 0.5000
11 Ho 0.0000 0.0000 0.0000
12 Ru 0.6267 0.1267 0.0000
13 Ho 0.6839 0.1839 0.7159
14 Ho 0.1839 0.0320 0.7159
15 Ho 0.4680 0.3161 0.2841
16 Rh 0.2500 0.2500 0.5000

Symmetry = No. 140
Volume = 370.8 Å³ per cell
DFT formation energy = -484 meV/atom

---

no.,DOS(E_F) (states/eV per cell)
1,7.1
2,1.9
3,8.4
4,8.9
5,11.8
6,5.4
7,4.0
8,10.2
9,6.6
10,7.3
11,2.9
12,9.7